No. 1
Compound: CeUSe2N
Source: Alexandria via LeMat-Bulk
Functional: PBE
Structure: relaxed

Mass density (Mg/m³): 8.0
Raw formation energy (eV/atom): -1.36

Cell: 4.027 4.027 14.105 Å, 90.00 90.00 90.00°
Space group P4/nmm (No. 129, origin choice 2)
Inequivalent atoms, fractional coordinates:
1 Ce 0.250 0.250 0.079 [2 per cell]
2 U 0.250 0.250 0.610 [2 per cell]
3 Se 0.250 0.250 0.400 [2 per cell]
4 Se 0.250 0.250 0.804 [2 per cell]
5 N 0.250 0.750 0.000 [2 per cell]

No. 2
Compound: CeUSeN2
Source: Alexandria via LeMat-Bulk
Functional: PBE
Structure: relaxed

Mass density (Mg/m³): 8.8
Raw formation energy (eV/atom): -1.57

Cell: 3.853 3.853 12.363 Å, 90.00 90.00 90.00°
Space group I4mm (No. 107)
Inequivalent atoms, fractional coordinates:
1 Ce 0.000 0.000 0.000 [2 per cell]
2 U 0.000 0.000 0.309 [2 per cell]
3 Se 0.000 0.000 0.654 [2 per cell]
4 N 0.000 0.500 0.393 [4 per cell]

No. 3
Compound: Ce2ZnSe2N2
Source: Alexandria via LeMat-Bulk
Functional: PBE
Structure: relaxed

Mass density (Mg/m³): 6.7
Raw formation energy (eV/atom): -1.31

Cell: 11.073 3.889 7.223 Å, 90.00 121.60 90.00°
Space group C2/m (No. 12)
Inequivalent atoms, fractional coordinates:
1 Ce 0.196 0.000 0.259 [4 per cell]
2 Zn 0.000 0.000 0.500 [2 per cell]
3 Se 0.067 0.500 0.843 [4 per cell]
4 N 0.197 0.000 0.579 [4 per cell]

What did the second record say?
Compound: CeUSeN2
Source: Alexandria via LeMat-Bulk
Functional: PBE
Structure: relaxed

Mass density (Mg/m³): 8.8
Raw formation energy (eV/atom): -1.57

Cell: 3.853 3.853 12.363 Å, 90.00 90.00 90.00°
Space group I4mm (No. 107)
Inequivalent atoms, fractional coordinates:
1 Ce 0.000 0.000 0.000 [2 per cell]
2 U 0.000 0.000 0.309 [2 per cell]
3 Se 0.000 0.000 0.654 [2 per cell]
4 N 0.000 0.500 0.393 [4 per cell]

- Look up the raw formation energy of the third one.
  -1.31 eV/atom

- Look up the mass density of the third one.
  6.7 Mg/m³

- Among the records above, which one has the highest mass density?
  CeUSeN2